Record 1
A crystal of Na2V3O7 relaxed with PBEsol, computed with meta-GGA SCAN.

Cell lengths 10.885, 10.885, 9.467 Å; angles 90.00, 90.00, 120.00 degrees
Fractional positions:
Na: 0.000 0.000 0.000
Na: 0.000 0.000 0.500
Na: 0.032 0.525 0.247
Na: 0.333 0.667 0.569
Na: 0.333 0.667 0.928
Na: 0.475 0.508 0.247
Na: 0.492 0.968 0.247
Na: 0.508 0.032 0.753
Na: 0.525 0.492 0.753
Na: 0.667 0.333 0.072
Na: 0.667 0.333 0.431
Na: 0.968 0.475 0.753
V: 0.106 0.317 0.402
V: 0.134 0.818 0.100
V: 0.145 0.315 0.751
V: 0.170 0.855 0.751
V: 0.182 0.316 0.100
V: 0.211 0.894 0.402
V: 0.315 0.170 0.249
V: 0.316 0.134 0.900
V: 0.317 0.211 0.598
V: 0.683 0.789 0.402
V: 0.684 0.866 0.100
V: 0.685 0.830 0.751
V: 0.789 0.106 0.598
V: 0.818 0.684 0.900
V: 0.830 0.145 0.249
V: 0.855 0.685 0.249
V: 0.866 0.182 0.900
V: 0.894 0.683 0.598
O: 0.023 0.296 0.211
O: 0.055 0.763 0.289
O: 0.061 0.238 0.933
O: 0.084 0.833 0.566
O: 0.147 0.481 0.436
O: 0.167 0.251 0.566
O: 0.172 0.693 0.066
O: 0.177 0.939 0.933
O: 0.206 0.487 0.753
O: 0.237 0.291 0.289
O: 0.238 0.177 0.067
O: 0.251 0.084 0.434
O: 0.273 0.977 0.211
O: 0.281 0.794 0.753
O: 0.291 0.055 0.711
O: 0.296 0.273 0.789
O: 0.307 0.479 0.066
O: 0.334 0.853 0.436
O: 0.479 0.172 0.934
O: 0.481 0.334 0.564
O: 0.487 0.281 0.247
O: 0.513 0.719 0.753
O: 0.519 0.666 0.436
O: 0.521 0.828 0.066
O: 0.666 0.147 0.564
O: 0.693 0.521 0.934
O: 0.704 0.727 0.211
O: 0.709 0.945 0.289
O: 0.719 0.206 0.247
O: 0.727 0.023 0.789
O: 0.749 0.916 0.566
O: 0.762 0.823 0.933
O: 0.763 0.709 0.711
O: 0.794 0.513 0.247
O: 0.823 0.061 0.067
O: 0.828 0.307 0.934
O: 0.833 0.749 0.434
O: 0.853 0.519 0.564
O: 0.916 0.167 0.434
O: 0.939 0.762 0.067
O: 0.945 0.237 0.711
O: 0.977 0.704 0.789

Results
Formation energy (no corrections) ... -30.5 eV per formula unit
Crystal system ... trigonal
Symmetry ... P-3

Record 2
A crystal of AgSbIr relaxed with PBEsol, computed with meta-GGA SCAN.

Cell lengths 7.676, 7.400, 2.957 Å; angles 83.99, 73.49, 22.52 degrees
Fractional positions:
Ag: 0.000 0.000 0.000
Sb: 0.692 0.692 0.308
Ir: 0.342 0.342 0.658

Results
Formation energy (no corrections) ... 1.5 eV per formula unit
Crystal system ... orthorhombic
Symmetry ... Fmm2

Record 3
A crystal of KBaSiRh2 relaxed with PBEsol, computed with meta-GGA SCAN.

Cell lengths 4.561, 4.561, 5.767 Å; angles 90.00, 90.00, 90.00 degrees
Fractional positions:
K: 0.000 0.000 0.000
Ba: 0.500 0.500 0.000
Si: 0.500 0.500 0.500
Rh: 0.000 0.500 0.500
Rh: 0.500 0.000 0.500

Results
Formation energy (no corrections) ... 0.7 eV per formula unit
Crystal system ... tetragonal
Symmetry ... P4/mmm

Record 4
A crystal of ZrPt3S relaxed with PBEsol, computed with meta-GGA SCAN.

Cell lengths 4.470, 4.470, 4.470 Å; angles 90.00, 90.00, 90.00 degrees
Fractional positions:
Zr: 0.000 0.000 0.000
Pt: 0.000 0.500 0.500
Pt: 0.500 0.000 0.500
Pt: 0.500 0.500 0.000
S: 0.500 0.500 0.500

Results
Formation energy (no corrections) ... -0.3 eV per formula unit
Crystal system ... cubic
Symmetry ... Pm-3m

Record 5
A crystal of In2HCl relaxed with PBEsol, computed with meta-GGA SCAN.

Cell lengths 4.975, 4.975, 4.975 Å; angles 60.00, 60.00, 60.00 degrees
Fractional positions:
In: 0.250 0.250 0.250
In: 0.750 0.750 0.750
H: 0.000 0.000 0.000
Cl: 0.500 0.500 0.500

Results
Crystal system ... cubic
VASP energy ... -19.510 eV per atom
Symmetry ... Fm-3m

Record 6
A crystal of AlP2Cl relaxed with PBEsol, computed with meta-GGA SCAN.

Cell lengths 7.884, 7.884, 7.884 Å; angles 25.30, 25.30, 25.30 degrees
Fractional positions:
Al: 0.000 0.000 0.000
P: 0.264 0.264 0.264
P: 0.545 0.545 0.545
Cl: 0.732 0.732 0.732

Results
Formation energy (no corrections) ... -1.1 eV per formula unit
Crystal system ... trigonal
Symmetry ... R3m

Record 7
A crystal of Fe2O3 relaxed with PBEsol, computed with meta-GGA SCAN.

Cell lengths 5.169, 5.169, 5.169 Å; angles 54.02, 54.02, 54.02 degrees
Fractional positions:
Fe: 0.154 0.154 0.154
Fe: 0.346 0.346 0.346
Fe: 0.654 0.654 0.654
Fe: 0.846 0.846 0.846
O: 0.064 0.750 0.436
O: 0.250 0.564 0.936
O: 0.436 0.064 0.750
O: 0.564 0.936 0.250
O: 0.750 0.436 0.064
O: 0.936 0.250 0.564

Results
Formation energy (no corrections) ... -7.6 eV per formula unit
Crystal system ... trigonal
Symmetry ... R-3c

Record 8
A crystal of ReSi2Pb relaxed with PBEsol, computed with meta-GGA SCAN.

Cell lengths 5.605, 5.605, 5.605 Å; angles 149.65, 120.19, 68.54 degrees
Fractional positions:
Re: 0.000 0.000 0.000
Si: 0.210 0.710 0.500
Si: 0.790 0.290 0.500
Pb: 0.500 0.500 0.000

Results
Formation energy (no corrections) ... 3.5 eV per formula unit
Crystal system ... orthorhombic
Symmetry ... Immm

Record 9
A crystal of YMnMo2Ir relaxed with PBEsol, computed with meta-GGA SCAN.

Cell lengths 4.747, 4.747, 4.697 Å; angles 90.00, 90.00, 90.00 degrees
Fractional positions:
Y: 0.000 0.000 0.000
Mn: 0.500 0.500 0.000
Mo: 0.000 0.500 0.500
Mo: 0.500 0.000 0.500
Ir: 0.500 0.500 0.500

Results
Energy of formation ... 0.65 eV/atom
Crystal system ... tetragonal
Symmetry ... P4/mmm

Record 10
A crystal of Li3La relaxed with PBEsol, computed with meta-GGA SCAN.

Cell lengths 5.637, 5.637, 5.637 Å; angles 131.79, 131.79, 70.57 degrees
Fractional positions:
Li: 0.000 0.000 0.000
Li: 0.250 0.750 0.500
Li: 0.750 0.250 0.500
La: 0.500 0.500 0.000

Results
Energy of formation ... 0.18 eV/atom
Crystal system ... tetragonal
Symmetry ... I4/mmm

Record 11
A crystal of CdSiW relaxed with PBEsol, computed with meta-GGA SCAN.

Cell lengths 4.361, 4.361, 4.361 Å; angles 60.00, 60.00, 60.00 degrees
Fractional positions:
Cd: 0.000 0.000 0.000
Si: 0.250 0.250 0.250
W: 0.750 0.750 0.750

Results
Formation energy (no corrections) ... 5.1 eV per formula unit
Crystal system ... cubic
Symmetry ... F-43m

Record 12
A crystal of Mg2Co2Si relaxed with PBEsol, computed with meta-GGA SCAN.

Cell lengths 5.752, 5.752, 4.207 Å; angles 90.00, 90.00, 90.00 degrees
Fractional positions:
Mg: 0.171 0.329 0.000
Mg: 0.329 0.829 0.000
Mg: 0.671 0.171 0.000
Mg: 0.829 0.671 0.000
Co: 0.139 0.639 0.500
Co: 0.361 0.139 0.500
Co: 0.639 0.861 0.500
Co: 0.861 0.361 0.500
Si: 0.000 0.000 0.500
Si: 0.500 0.500 0.500

Results
Formation energy (no corrections) ... -0.7 eV per formula unit
Crystal system ... tetragonal
Symmetry ... P4/mbm

Record 13
A crystal of CaSi2Ir relaxed with PBEsol, computed with meta-GGA SCAN.

Cell lengths 5.808, 5.808, 5.808 Å; angles 40.77, 40.77, 40.77 degrees
Fractional positions:
Ca: 0.000 0.000 0.000
Si: 0.550 0.550 0.550
Si: 0.795 0.795 0.795
Ir: 0.187 0.187 0.187

Results
Formation energy (no corrections) ... -3.0 eV per formula unit
Crystal system ... trigonal
Symmetry ... R3m

Record 14
A crystal of Ta3AgO8 relaxed with PBEsol, computed with meta-GGA SCAN.

Cell lengths 7.274, 7.274, 7.274 Å; angles 120.01, 87.18, 123.31 degrees
Fractional positions:
Ta: 0.231 0.239 0.470
Ta: 0.250 0.250 0.000
Ta: 0.269 0.739 0.009
Ta: 0.731 0.261 0.991
Ta: 0.750 0.750 0.000
Ta: 0.769 0.761 0.530
Ag: 0.250 0.750 0.500
Ag: 0.750 0.250 0.500
O: 0.059 0.393 0.040
O: 0.062 0.124 0.186
O: 0.147 0.107 0.666
O: 0.175 0.496 0.671
O: 0.325 0.996 0.321
O: 0.353 0.019 0.960
O: 0.438 0.624 0.062
O: 0.441 0.481 0.334
O: 0.559 0.519 0.666
O: 0.562 0.376 0.938
O: 0.647 0.981 0.040
O: 0.675 0.004 0.679
O: 0.825 0.504 0.329
O: 0.853 0.893 0.334
O: 0.938 0.876 0.814
O: 0.941 0.607 0.960

Results
Formation energy (no corrections) ... -32.2 eV per formula unit
Crystal system ... orthorhombic
Symmetry ... Ibam

Record 15
A crystal of LaP2Ru relaxed with PBEsol, computed with meta-GGA SCAN.

Cell lengths 3.116, 3.116, 6.830 Å; angles 90.00, 90.00, 90.00 degrees
Fractional positions:
La: 0.000 0.000 0.000
P: 0.500 0.500 0.308
P: 0.500 0.500 0.692
Ru: 0.000 0.000 0.500

Results
Energy of formation ... -0.42 eV/atom
Crystal system ... tetragonal
Symmetry ... P4/mmm

Record 16
A crystal of Ni2PdI relaxed with PBEsol, computed with meta-GGA SCAN.

Cell lengths 4.331, 4.331, 4.331 Å; angles 60.00, 60.00, 60.00 degrees
Fractional positions:
Ni: 0.250 0.250 0.250
Ni: 0.750 0.750 0.750
Pd: 0.000 0.000 0.000
I: 0.500 0.500 0.500

Results
Formation energy (no corrections) ... 2.0 eV per formula unit
Crystal system ... cubic
Symmetry ... Fm-3m

Record 17
A crystal of DyGe2Pd2 relaxed with PBEsol, computed with meta-GGA SCAN.

Cell lengths 5.850, 5.850, 5.850 Å; angles 138.05, 138.05, 60.82 degrees
Fractional positions:
Dy: 0.000 0.000 0.000
Ge: 0.381 0.381 0.000
Ge: 0.619 0.619 0.000
Pd: 0.250 0.750 0.500
Pd: 0.750 0.250 0.500

Results
Energy of formation ... -0.90 eV/atom
Crystal system ... tetragonal
Symmetry ... I4/mmm

Record 18
A crystal of TaMnFe relaxed with PBEsol, computed with meta-GGA SCAN.

Cell lengths 5.662, 5.662, 5.662 Å; angles 152.79, 152.79, 38.86 degrees
Fractional positions:
Ta: 0.000 0.000 0.000
Mn: 0.310 0.310 0.000
Fe: 0.688 0.688 0.000

Results
Energy of formation ... 0.15 eV/atom
Crystal system ... tetragonal
Symmetry ... I4mm

Record 19
A crystal of NdSi2Ru relaxed with PBEsol, computed with meta-GGA SCAN.

Cell lengths 4.455, 4.038, 8.219 Å; angles 90.00, 102.15, 90.00 degrees
Fractional positions:
Nd: 0.086 0.250 0.201
Nd: 0.914 0.750 0.799
Si: 0.166 0.750 0.491
Si: 0.464 0.250 0.908
Si: 0.536 0.750 0.092
Si: 0.834 0.250 0.509
Ru: 0.382 0.250 0.612
Ru: 0.618 0.750 0.388

Results
Formation energy (no corrections) ... -3.6 eV per formula unit
Crystal system ... monoclinic
Symmetry ... P2_1/m

Record 20
A crystal of Sc2Ge2Mo relaxed with PBEsol, computed with meta-GGA SCAN.

Cell lengths 6.771, 6.771, 3.789 Å; angles 90.00, 90.00, 90.00 degrees
Fractional positions:
Sc: 0.175 0.325 0.000
Sc: 0.325 0.825 0.000
Sc: 0.675 0.175 0.000
Sc: 0.825 0.675 0.000
Ge: 0.132 0.632 0.500
Ge: 0.368 0.132 0.500
Ge: 0.632 0.868 0.500
Ge: 0.868 0.368 0.500
Mo: 0.000 0.000 0.500
Mo: 0.500 0.500 0.500

Results
Energy of formation ... -0.68 eV/atom
Crystal system ... tetragonal
Symmetry ... P4/mbm